No. 1
# ZrTc2GeCl

An optimized crystal structure of ZrTc2GeCl (GGA-PBEsol, Alexandria).

a = 4.833 Å, b = 4.833 Å, c = 4.735 Å
α = 90.00°, β = 90.00°, γ = 90.00°
Space group P4/mmm (No. 123)
Asymmetric unit:
Zr1 0.000 0.000 0.000 [1 per cell]
Tc1 0.000 0.500 0.000 [2 per cell]
Ge1 0.500 0.500 0.500 [1 per cell]
Cl1 0.000 0.000 0.500 [1 per cell]

Values from the calculation:
Calculated density (g/cm3): 5.9
Formation energy without anion corrections (eV per atom): 1.3812
Final energy (eV per atom): -6.333

=====

No. 2
# GeTeCl2

An optimized crystal structure of GeTeCl2 (GGA-PBEsol, Alexandria).

a = 7.054 Å, b = 7.054 Å, c = 7.054 Å
α = 90.00°, β = 90.00°, γ = 90.00°
Space group Fm-3m (No. 225)
Asymmetric unit:
Ge1 0.000 0.000 0.000 [4 per cell]
Te1 0.000 0.000 0.500 [4 per cell]
Cl1 0.250 0.250 0.250 [8 per cell]

Values from the calculation:
Relative energy among the computed polymorphs (eV/f.u.): 1.01
Calculated density (g/cm3): 5.1
Formation energy without anion corrections (eV per atom): 0.1835
Final energy (eV per atom): -2.937

=====

No. 3
# GeTeCl2

An optimized crystal structure of GeTeCl2 (GGA-PBEsol, Alexandria).

a = 8.821 Å, b = 8.821 Å, c = 5.537 Å
α = 90.00°, β = 90.00°, γ = 90.00°
Space group I-42d (No. 122)
Asymmetric unit:
Ge1 0.000 0.000 0.000 [4 per cell]
Te1 0.000 0.000 0.500 [4 per cell]
Cl1 0.133 0.250 0.125 [8 per cell]

Values from the calculation:
Relative energy among the computed polymorphs (eV/f.u.): 0.00
Calculated density (g/cm3): 4.2
Formation energy without anion corrections (eV per atom): -0.0683
Final energy (eV per atom): -3.189